# 1
This record from the Alexandria database describes an optimized crystal structure of AlTcP2W. The functional is PBE-GGA.

```
data_AlTcP2W
_cell_length_a 4.608
_cell_length_b 4.608
_cell_length_c 4.940
_cell_angle_alpha 90.00
_cell_angle_beta 90.00
_cell_angle_gamma 90.00
_symmetry_space_group_name_H-M 'P 4/m m m'
_symmetry_Int_Tables_number 123
_symmetry_space_group_name_Hall '-P 4 2'
loop_
_atom_site_label
_atom_site_type_symbol
_atom_site_fract_x
_atom_site_fract_y
_atom_site_fract_z
Al1 Al 0.000 0.000 0.000
Tc1 Tc 0.500 0.500 0.000
P1 P 0.000 0.500 0.500
W1 W 0.000 0.000 0.500
```

Output
energy	-32.44	eV per cell
formation energy	1.0888	eV per atom
theoretical density	5869	kg/m3



# 2
This record from the Alexandria database describes an optimized crystal structure of AlTeP2. The functional is PBE-GGA.

```
data_AlTeP2
_cell_length_a 7.217
_cell_length_b 2.872
_cell_length_c 8.207
_cell_angle_alpha 90.00
_cell_angle_beta 101.06
_cell_angle_gamma 90.00
_symmetry_space_group_name_H-M 'C 1 2/m 1'
_symmetry_Int_Tables_number 12
loop_
_symmetry_equiv_pos_as_xyz
'x,y,z'
'-x,-y,-z'
'-x,y,-z'
'x,-y,z'
'x+1/2,y+1/2,z'
'-x+1/2,-y+1/2,-z'
'-x+1/2,y+1/2,-z'
'x+1/2,-y+1/2,z'
loop_
_atom_site_label
_atom_site_type_symbol
_atom_site_fract_x
_atom_site_fract_y
_atom_site_fract_z
Al1 Al 0.000 0.000 0.000
Te1 Te 0.000 0.500 0.500
P1 P 0.172 0.500 0.824
```

Output
relative energy among the computed polymorphs	84.5	meV/atom
energy	-34.75	eV per cell
theoretical density	4308	kg/m3



Among the records above, which one has the lowest energy? AlTeP2



The lowest theoretical density belongs to which entry? AlTeP2



The lowest energy belongs to which entry? AlTeP2



Number 1 is which compound? AlTcP2W